Material: PuThMn2
Method: DFT, PBE-GGA
State: relaxed

The structure in extended XYZ format:
```
4
Lattice="4.860 0.000 0.000 2.430 4.209 0.000 2.430 1.403 3.968" Properties=species:S:1:pos:R:3 pbc="T T T"
Mn 2.430 1.403 0.992
Mn 7.290 4.209 2.976
Th 4.860 2.806 1.984
Pu 0.000 0.000 0.000
```

Calculated values
* N(E_F): 1.708 states/eV/atom
* V: 81 Å³/cell
* energy relative to the elements: 149 meV per atom
* E_tot: -9.873 eV per atom